# RbCoS2O8, relaxed, DFT PBE+U
# Calculated total energy (eV/cell): -70.81
data_RbCoS2O8
_cell_length_a 4.9253
_cell_length_b 4.9253
_cell_length_c 8.5398
_cell_angle_alpha 90.00
_cell_angle_beta 90.00
_cell_angle_gamma 120.00
_space_group_name_H-M_alt 'P -3'
_space_group_IT_number 147
loop_
_space_group_symop_operation_xyz
'x,y,z'
'-x,-y,-z'
'-y,x-y,z'
'y,-x+y,-z'
'-x+y,-x,z'
'x-y,x,-z'
loop_
_atom_site_label
_atom_site_fract_x
_atom_site_fract_y
_atom_site_fract_z
_atom_site_occupancy
Rb1 0.0000 0.0000 0.0000 1
Co1 0.0000 0.0000 0.5000 1
S1 0.3333 0.6667 0.6994 1
O1 0.0737 0.3605 0.6401 1
O2 0.3333 0.6667 0.8709 1